No. 1
# Pm3Pr2Dy6Tm

A relaxed Pm3Pr2Dy6Tm crystal (PBE, Alexandria via LeMat-Bulk).

Cell: 6.2258 6.2258 11.8731 Å, 95.00 95.00 119.98°
Fractional coordinates of all 12 atoms:
Dy: 0.4157 0.0834 0.2499
Dy: 0.0834 0.4157 0.2499
Pm: 0.5000 0.5000 0.5000
Dy: 0.7514 0.7514 0.2502
Dy: 0.9166 0.5843 0.7501
Pr: 0.6665 0.3335 0.0000
Tm: 0.0000 0.0000 0.0000
Pr: 0.3335 0.6665 0.0000
Pm: 0.8333 0.1667 0.5000
Pm: 0.1667 0.8333 0.5000
Dy: 0.2486 0.2486 0.7498
Dy: 0.5843 0.9166 0.7501

Properties
The final energy is -4.6436 eV/atom.

---

No. 2
# Pm2Pr6Dy3Tm

A relaxed Pm2Pr6Dy3Tm crystal (PBE, Alexandria via LeMat-Bulk).

Cell: 6.3274 6.3274 11.9693 Å, 95.04 95.04 120.00°
Fractional coordinates of all 12 atoms:
Tm: 0.0000 0.0000 0.0000
Dy: 0.1665 0.8335 0.5000
Pr: 0.4161 0.0839 0.2515
Pr: 0.0839 0.4161 0.2515
Pm: 0.3332 0.6668 0.0000
Pm: 0.6668 0.3332 0.0000
Pr: 0.9161 0.5839 0.7485
Dy: 0.8335 0.1665 0.5000
Pr: 0.7516 0.7516 0.2520
Pr: 0.5839 0.9161 0.7485
Pr: 0.2484 0.2484 0.7480
Dy: 0.5000 0.5000 0.5000

Properties
The final energy is -4.6922 eV/atom.

---

No. 3
# PmPr3DyTm

A relaxed PmPr3DyTm crystal (PBE, Alexandria via LeMat-Bulk).

Cell: 3.6412 10.9302 10.9037 Å, 109.55 90.00 90.00°
Fractional coordinates of all 12 atoms:
Pr: 0.7500 0.3731 0.2081
Tm: 0.2500 0.1202 0.6218
Dy: 0.2500 0.1203 0.2952
Tm: 0.7500 0.8798 0.3782
Pm: 0.2500 0.6281 0.1277
Pr: 0.7500 0.8771 0.0458
Pr: 0.7500 0.3689 0.5408
Dy: 0.7500 0.8797 0.7048
Pr: 0.2500 0.6311 0.4592
Pm: 0.7500 0.3719 0.8723
Pr: 0.2500 0.1229 0.9542
Pr: 0.2500 0.6269 0.7919

Properties
The final energy is -4.6734 eV/atom.

---

No. 4
# Pm2Pr4Dy2Tm

A relaxed Pm2Pr4Dy2Tm crystal (PBE, Alexandria via LeMat-Bulk).

Cell: 5.1574 8.1546 8.1050 Å, 107.64 90.00 108.43°
Fractional coordinates of all 9 atoms:
Pr: 0.5544 0.1089 0.3301
Pm: 0.1116 0.2232 0.6708
Tm: 0.0000 0.0000 0.0000
Pm: 0.8884 0.7768 0.3292
Pr: 0.7780 0.5560 0.6699
Pr: 0.2220 0.4440 0.3301
Pr: 0.4456 0.8911 0.6699
Dy: 0.3335 0.6670 0.0001
Dy: 0.6665 0.3330 0.9999

Properties
The final energy is -4.6770 eV/atom.

---

No. 5
# Pm3PrDy6Y2

A relaxed Pm3PrDy6Y2 crystal (PBE, Alexandria via LeMat-Bulk).

Cell: 6.2171 6.2171 11.8815 Å, 94.98 94.98 119.97°
Fractional coordinates of all 12 atoms:
Dy: 0.9161 0.5827 0.7504
Pm: 0.1669 0.8331 0.5000
Dy: 0.0839 0.4173 0.2496
Pm: 0.5000 0.5000 0.5000
Dy: 0.2498 0.2498 0.7505
Dy: 0.7502 0.7502 0.2495
Y: 0.3333 0.6667 0.0000
Dy: 0.5827 0.9161 0.7504
Dy: 0.4173 0.0839 0.2496
Pr: 0.0000 0.0000 0.0000
Pm: 0.8331 0.1669 0.5000
Y: 0.6667 0.3333 0.0000

Properties
The final energy is -4.9486 eV/atom.

---

No. 6
# Pm2Pr2DyY4

A relaxed Pm2Pr2DyY4 crystal (PBE, Alexandria via LeMat-Bulk).

Cell: 3.6500 9.6452 9.7081 Å, 115.23 90.00 100.91°
Fractional coordinates of all 9 atoms:
Dy: 0.0000 0.0000 0.0000
Pr: 0.6649 0.3299 0.0000
Y: 0.4806 0.9613 0.6673
Pm: 0.8525 0.7050 0.3365
Y: 0.8151 0.6303 0.6647
Pr: 0.3351 0.6701 0.0000
Y: 0.1849 0.3697 0.3353
Y: 0.5194 0.0387 0.3327
Pm: 0.1475 0.2950 0.6635

Properties
The final energy is -5.5015 eV/atom.